# BiSb2IO

Crystalline BiSb2IO at its relaxed geometry (GGA-PBEsol, Alexandria via LeMat-Bulk).

abc: 4.5278 4.5278 6.2737
angles: 90.00 90.00 90.00
Last column: nearest neighbours and their distance in Å.
Positions (direct):
I1 0.0000 0.0000 0.5000  2 O 3.14, 4 Bi 3.20
Sb1 0.0000 0.5000 0.0000  2 O 2.26
Sb2 0.5000 0.0000 0.0000  2 O 2.26
Bi1 0.5000 0.5000 0.5000  4 I 3.20
O1 0.0000 0.0000 0.0000  4 Sb 2.26

Formation energy without anion corrections: 0.1 eV/f.u.
Final energy: -4.064 eV/atom
Spin magnetization: 0.00 μB/f.u.
Calculated density: 7.687 Mg/m³
Offset from the most stable computed form: 0.0000 eV per atom


# CaMgTc

Crystalline CaMgTc at its relaxed geometry (GGA-PBEsol, Alexandria via LeMat-Bulk).

abc: 4.6775 4.6775 4.6775
angles: 60.00 60.00 60.00
Last column: nearest neighbours and their distance in Å.
Positions (direct):
Ca1 0.5000 0.5000 0.5000  4 Mg 2.86
Mg1 0.2500 0.2500 0.2500  4 Ca 2.86, 4 Tc 2.86
Tc1 0.0000 0.0000 0.0000  4 Mg 2.86

Final energy: -3.861 eV/atom
Spin magnetization: 1.89 μB/f.u.
Calculated formation energy: 1.18 eV per atom
Calculated density: 3.726 Mg/m³
Offset from the most stable computed form: 0.6282 eV per atom


# Rb2SnIrC

Crystalline Rb2SnIrC at its relaxed geometry (GGA-PBEsol, Alexandria via LeMat-Bulk).

abc: 3.9519 6.7653 6.7653
angles: 90.00 90.00 90.00
Last column: nearest neighbours and their distance in Å.
Positions (direct):
C1 0.5000 0.0000 0.0000  2 Sn 1.98
Ir1 0.5000 0.5000 0.5000  8 Rb 3.92, 2 Ir 3.95
Sn1 0.0000 0.0000 0.0000  2 C 1.98
Rb1 0.0000 0.0000 0.5000  2 Sn 3.38
Rb2 0.0000 0.5000 0.0000  2 Sn 3.38

Final energy: -3.367 eV/atom
Spin magnetization: 1.71 μB/f.u.
Calculated formation energy: 1.79 eV per atom
Calculated density: 4.534 Mg/m³